No. 1
Mg2Np3UN6: optimized geometry, PBE.

abc: 5.8370 5.8370 5.8997
angles: 99.21 99.21 120.41
Last column: nearest neighbours and their distance in Å.
Atoms (fractional coordinates):
Mg 0.1677 0.8323 0.0000  6 N 2.34-2.43
Mg 0.8323 0.1677 0.0000  6 N 2.34-2.43
Np 0.0000 0.0000 0.5000  6 N 2.42-2.43
Np 0.3257 0.6743 0.5000  6 N 2.42-2.43
Np 0.6743 0.3257 0.5000  6 N 2.42-2.43
U 0.5000 0.5000 0.0000  6 N 2.33
N 0.0922 0.4183 0.7635  1 U 2.33, 2 Mg 2.34-2.37, 3 Np 2.42
N 0.2600 0.2600 0.2488  1 U 2.33, 2 Mg 2.43, 3 Np 2.43
N 0.4183 0.0922 0.7635  1 U 2.33, 2 Mg 2.34-2.37, 3 Np 2.42
N 0.5817 0.9078 0.2365  1 U 2.33, 2 Mg 2.34-2.37, 3 Np 2.42
N 0.7400 0.7400 0.7512  1 U 2.33, 2 Mg 2.43, 3 Np 2.43
N 0.9078 0.5817 0.2365  1 U 2.33, 2 Mg 2.34-2.37, 3 Np 2.42

Properties
The formation energy from raw total energies is -1.008 eV per atom.

No. 2
Mg2NpUN4: optimized geometry, PBE.

abc: 5.6459 3.3887 5.8718
angles: 90.00 110.38 90.00
Last column: nearest neighbours and their distance in Å.
Atoms (fractional coordinates):
Mg 0.0000 0.0000 0.0000  6 N 2.35-2.37
Mg 0.0000 0.5000 0.5000  6 N 2.38-2.41
Np 0.5000 0.0000 0.5000  6 N 2.35-2.38
U 0.5000 0.5000 0.0000  6 N 2.32-2.34
N 0.2530 0.0000 0.7564  2 U 2.34, 3 Mg 2.35-2.38, 1 Np 2.38
N 0.2572 0.5000 0.2469  1 U 2.32, 2 Np 2.35, 3 Mg 2.37-2.41
N 0.7428 0.5000 0.7531  1 U 2.32, 2 Np 2.35, 3 Mg 2.37-2.41
N 0.7470 0.0000 0.2436  2 U 2.34, 3 Mg 2.35-2.38, 1 Np 2.38

Properties
The formation energy from raw total energies is -1.004 eV per atom.

No. 3
Y3MgNp3N8: optimized geometry, PBE.

abc: 6.8214 6.8214 6.8214
angles: 59.12 59.12 59.12
Last column: nearest neighbours and their distance in Å.
Atoms (fractional coordinates):
Y 0.0000 0.5000 0.5000  6 N 2.39-2.52
Y 0.5000 0.0000 0.5000  6 N 2.39-2.52
Y 0.5000 0.5000 0.0000  6 N 2.39-2.52
Mg 0.5000 0.5000 0.5000  6 N 2.28
Np 0.0000 0.0000 0.5000  6 N 2.28-2.40
Np 0.0000 0.5000 0.0000  6 N 2.28-2.40
Np 0.5000 0.0000 0.0000  6 N 2.28-2.40
N 0.2385 0.7376 0.7376  1 Mg 2.28, 2 Np 2.28, 2 Y 2.52
N 0.2506 0.2506 0.2506  3 Y 2.39, 3 Np 2.40
N 0.2624 0.2624 0.7615  1 Mg 2.28, 2 Np 2.28, 2 Y 2.52
N 0.2624 0.7615 0.2624  1 Mg 2.28, 2 Np 2.28, 2 Y 2.52
N 0.7376 0.2385 0.7376  1 Mg 2.28, 2 Np 2.28, 2 Y 2.52
N 0.7376 0.7376 0.2385  1 Mg 2.28, 2 Np 2.28, 2 Y 2.52
N 0.7494 0.7494 0.7494  3 Y 2.39, 3 Np 2.40
N 0.7615 0.2624 0.2624  1 Mg 2.28, 2 Np 2.28, 2 Y 2.52

Properties
The formation energy from raw total energies is -1.132 eV per atom.

No. 4
YMg2NpN4: optimized geometry, PBE.

abc: 5.5546 3.3923 5.8376
angles: 90.00 109.77 90.00
Last column: nearest neighbours and their distance in Å.
Atoms (fractional coordinates):
Y 0.0000 0.0000 0.0000  6 N 2.37-2.39
Mg 0.5000 0.0000 0.5000  6 N 2.29-2.35
Mg 0.5000 0.5000 0.0000  6 N 2.38-2.50
Np 0.0000 0.5000 0.5000  6 N 2.16-2.34
N 0.2344 0.5000 0.2716  1 Np 2.16, 2 Mg 2.35, 2 Y 2.39
N 0.2493 0.0000 0.7414  3 Mg 2.29-2.38, 2 Np 2.34, 1 Y 2.37
N 0.7507 0.0000 0.2586  3 Mg 2.29-2.38, 2 Np 2.34, 1 Y 2.37
N 0.7656 0.5000 0.7284  1 Np 2.16, 2 Mg 2.35, 2 Y 2.39

Properties
The formation energy from raw total energies is -1.113 eV per atom.

No. 5
Mg3NpZn2N6: optimized geometry, PBE.

abc: 5.4561 5.4561 5.3953
angles: 98.02 98.02 121.65
Last column: nearest neighbours and their distance in Å.
Atoms (fractional coordinates):
Mg 0.0000 0.0000 0.0000  6 N 2.21-2.28
Mg 0.3226 0.6774 0.0000  6 N 2.19-2.28
Mg 0.6774 0.3226 0.0000  6 N 2.19-2.28
Np 0.5000 0.5000 0.5000  6 N 2.02-2.20
Zn 0.1718 0.8282 0.5000  6 N 2.12-2.35
Zn 0.8282 0.1718 0.5000  6 N 2.12-2.35
N 0.0874 0.4061 0.2548  2 Zn 2.12-2.27, 3 Mg 2.19-2.24, 1 Np 2.20
N 0.2778 0.2778 0.7471  1 Np 2.02
N 0.4061 0.0874 0.2548  2 Zn 2.12-2.27, 3 Mg 2.19-2.24, 1 Np 2.20
N 0.5939 0.9126 0.7452  2 Zn 2.12-2.27, 3 Mg 2.19-2.24, 1 Np 2.20
N 0.7222 0.7222 0.2529  1 Np 2.02
N 0.9126 0.5939 0.7452  2 Zn 2.12-2.27, 3 Mg 2.19-2.24, 1 Np 2.20

Properties
The formation energy from raw total energies is -0.500 eV per atom.

No. 6
Mg2ZrNpN4: optimized geometry, PBE.

abc: 5.5460 3.3005 5.7132
angles: 90.00 109.65 90.00
Last column: nearest neighbours and their distance in Å.
Atoms (fractional coordinates):
Mg 0.0000 0.0000 0.0000  6 N 2.34
Mg 0.0000 0.5000 0.5000  6 N 2.32-2.34
Zr 0.5000 0.0000 0.5000  6 N 2.27-2.29
Np 0.5000 0.5000 0.0000  6 N 2.26-2.31
N 0.2551 0.0000 0.7476  1 Zr 2.27, 2 Np 2.31, 3 Mg 2.32-2.34
N 0.2606 0.5000 0.2519  1 Np 2.26, 2 Zr 2.29, 3 Mg 2.34
N 0.7394 0.5000 0.7481  1 Np 2.26, 2 Zr 2.29, 3 Mg 2.34
N 0.7449 0.0000 0.2524  1 Zr 2.27, 2 Np 2.31, 3 Mg 2.32-2.34

Properties
The formation energy from raw total energies is -1.136 eV per atom.